(1)
The following is a GGA-PBE calculation of an optimized crystal structure of CaZnPt3, from Alexandria via LeMat-Bulk.

- Space-group type: Pm-3m, No. 221
- Polymorph energy (0 for the lowest one): 1267 meV per atom
- Formation enthalpy at 0 K: 112.35 kJ/mol of atoms

a = 4.945 Å, b = 4.945 Å, c = 4.945 Å
α = 90.00°, β = 90.00°, γ = 90.00°
Fractional positions:
Ca (0.000, 0.000, 0.000)
Zn (0.500, 0.500, 0.500)
Pt (0.000, 0.000, 0.500)
Pt (0.000, 0.500, 0.000)
Pt (0.500, 0.000, 0.000)



(2)
The following is a GGA-PBE calculation of an optimized crystal structure of Ga3SiSb, from Alexandria via LeMat-Bulk.

- Formation energy from raw total energies: 0.26 eV per atom
- Space-group type: Pm-3m, No. 221
- Polymorph energy (0 for the lowest one): 0 meV per atom

a = 4.850 Å, b = 4.850 Å, c = 4.850 Å
α = 90.00°, β = 90.00°, γ = 90.00°
Fractional positions:
Ga (0.000, 0.000, 0.500)
Ga (0.000, 0.500, 0.000)
Ga (0.500, 0.000, 0.000)
Si (0.000, 0.000, 0.000)
Sb (0.500, 0.500, 0.500)



(3)
The following is a GGA-PBE calculation of an optimized crystal structure of MgCd12Au6, from Alexandria via LeMat-Bulk.

- Space-group type: R-3, No. 148
- Polymorph energy (0 for the lowest one): 68 meV per atom
- Formation enthalpy at 0 K: -10.04 kJ/mol of atoms

a = 7.946 Å, b = 7.946 Å, c = 7.946 Å
α = 109.15°, β = 109.15°, γ = 109.15°
Fractional positions:
Mg (0.000, 0.000, 0.000)
Cd (0.117, 0.747, 0.174)
Cd (0.174, 0.117, 0.747)
Cd (0.208, 0.481, 0.326)
Cd (0.253, 0.826, 0.883)
Cd (0.326, 0.208, 0.481)
Cd (0.481, 0.326, 0.208)
Cd (0.519, 0.674, 0.792)
Cd (0.674, 0.792, 0.519)
Cd (0.747, 0.174, 0.117)
Cd (0.792, 0.519, 0.674)
Cd (0.826, 0.883, 0.253)
Cd (0.883, 0.253, 0.826)
Au (0.053, 0.357, 0.572)
Au (0.357, 0.572, 0.053)
Au (0.428, 0.947, 0.643)
Au (0.572, 0.053, 0.357)
Au (0.643, 0.428, 0.947)
Au (0.947, 0.643, 0.428)



Number 2 is which compound?
Ga3SiSb